# 1
First-principles (PBE) data for crystalline MgRu2RhC at its relaxed geometry, as listed in Alexandria.

Values from the calculation:
E_form   -0.030 eV per atom

Structure (CIF):
```
data_MgRu2RhC
_chemical_formula_sum 'Mg1 Ru2 Rh1 C1'
_space_group_name_H-M_alt 'P 4/m m m'
_space_group_IT_number 123
_space_group_name_Hall '-P 4 2'
_cell_length_a 4.059
_cell_length_b 4.059
_cell_length_c 4.083
_cell_angle_alpha 90.00
_cell_angle_beta 90.00
_cell_angle_gamma 90.00
loop_
_atom_site_label
_atom_site_fract_x
_atom_site_fract_y
_atom_site_fract_z
Mg1 0.000 0.000 0.000
Ru1 0.000 0.500 0.500
Rh1 0.500 0.500 0.000
C1 0.500 0.500 0.500
```

=====

# 2
First-principles (PBE) data for crystalline TaTl2WN at its relaxed geometry, as listed in Alexandria.

Values from the calculation:
Raw formation energy   53.50 kcal/mol of atoms

Structure (CIF):
```
data_TaTl2WN
_chemical_formula_sum 'Ta1 Tl2 W1 N1'
_space_group_name_H-M_alt 'P 4/m m m'
_space_group_IT_number 123
_space_group_name_Hall '-P 4 2'
_cell_length_a 5.645
_cell_length_b 5.645
_cell_length_c 4.772
_cell_angle_alpha 90.00
_cell_angle_beta 90.00
_cell_angle_gamma 90.00
loop_
_atom_site_label
_atom_site_fract_x
_atom_site_fract_y
_atom_site_fract_z
Ta1 0.000 0.000 0.000
Tl1 0.000 0.500 0.000
W1 0.000 0.000 0.500
N1 0.500 0.500 0.500
```

=====

# 3
First-principles (PBE) data for crystalline ReP2Se at its relaxed geometry, as listed in Alexandria.

Values from the calculation:
Raw formation energy   18.00 kcal/mol of atoms

Structure (CIF):
```
data_ReP2Se
_chemical_formula_sum 'Re1 P2 Se1'
_space_group_name_H-M_alt 'P m m m'
_space_group_IT_number 47
_cell_length_a 3.031
_cell_length_b 4.250
_cell_length_c 4.687
_cell_angle_alpha 90.00
_cell_angle_beta 90.00
_cell_angle_gamma 90.00
loop_
_space_group_symop_operation_xyz
'x,y,z'
'-x,-y,-z'
'-x,-y,z'
'x,y,-z'
'x,-y,-z'
'-x,y,z'
'-x,y,-z'
'x,-y,z'
loop_
_atom_site_label
_atom_site_fract_x
_atom_site_fract_y
_atom_site_fract_z
Re1 0.000 0.000 0.000
P1 0.000 0.500 0.500
P2 0.500 0.500 0.000
Se1 0.500 0.000 0.500
```

=====

no.,density of states at the Fermi level (states/eV/f.u.),magnetic moment (μB/cell)
1,4.9,0.000
2,4.2,3.658
3,2.3,0.000